(1)
The following is a GGA-PBEsol calculation of a relaxed structure of SrScAg2, from the Alexandria database.

Summary:
The calculation puts the offset from the most stable computed form at 0.00 eV per formula unit.

Cell: 3.540 3.540 7.407 Å, 90.00 90.00 90.00°
Space group P4/mmm (No. 123)
Inequivalent atoms, fractional coordinates:
Sr 0.000 0.000 0.000 [1 per cell]
Sc 0.000 0.000 0.500 [1 per cell]
Ag 0.500 0.500 0.301 [2 per cell]

=====

(2)
The following is a GGA-PBEsol calculation of a relaxed structure of Sr2ScAg, from the Alexandria database.

Cell: 7.941 7.941 7.941 Å, 90.00 90.00 90.00°
Space group Fm-3m (No. 225)
Inequivalent atoms, fractional coordinates:
Sr 0.250 0.250 0.250 [8 per cell]
Sc 0.000 0.000 0.000 [4 per cell]
Ag 0.000 0.000 0.500 [4 per cell]

=====

(3)
The following is a GGA-PBEsol calculation of a relaxed structure of ScTaAg3, from the Alexandria database.

Cell: 4.967 4.967 4.967 Å, 90.00 90.00 90.00°
Space group Pm-3m (No. 221)
Inequivalent atoms, fractional coordinates:
Sc 0.000 0.000 0.000 [1 per cell]
Ta 0.500 0.500 0.500 [1 per cell]
Ag 0.000 0.500 0.500 [3 per cell]

=====

(4)
The following is a GGA-PBEsol calculation of a relaxed structure of ScTaAg2, from the Alexandria database.

Summary:
The calculation puts the offset from the most stable computed form at 0.55 eV per formula unit.

Cell: 6.613 6.613 6.613 Å, 90.00 90.00 90.00°
Space group Fm-3m (No. 225)
Inequivalent atoms, fractional coordinates:
Sc 0.000 0.000 0.000 [4 per cell]
Ta 0.000 0.000 0.500 [4 per cell]
Ag 0.250 0.250 0.250 [8 per cell]

=====

(5)
The following is a GGA-PBEsol calculation of a relaxed structure of ScTa3Ag, from the Alexandria database.

Cell: 4.670 4.670 4.670 Å, 90.00 90.00 90.00°
Space group Pm-3m (No. 221)
Inequivalent atoms, fractional coordinates:
Sc 0.000 0.000 0.000 [1 per cell]
Ta 0.000 0.000 0.500 [3 per cell]
Ag 0.500 0.500 0.500 [1 per cell]

=====

(6)
The following is a GGA-PBEsol calculation of a relaxed structure of ScTaAg2, from the Alexandria database.

Summary:
The calculation puts the offset from the most stable computed form at 0.66 eV per formula unit.

Cell: 3.068 4.756 9.794 Å, 90.00 90.00 90.00°
Space group Immm (No. 71)
Inequivalent atoms, fractional coordinates:
Sc 0.000 0.000 0.000 [2 per cell]
Ta 0.000 0.000 0.500 [2 per cell]
Ag 0.000 0.500 0.245 [4 per cell]

=====

(7)
The following is a GGA-PBEsol calculation of a relaxed structure of ScTaAg2, from the Alexandria database.

Summary:
The calculation puts the offset from the most stable computed form at 0.17 eV per formula unit.

Cell: 2.9743 2.9743 28.3953 Å, 90.00 90.00 120.00°
Space group R3m (No. 160, hexagonal axes)
Inequivalent atoms, fractional coordinates:
Sc 0.0000 0.0000 0.0000 [3 per cell]
Ta 0.0000 0.0000 0.2492 [3 per cell]
Ag 0.0000 0.0000 0.5000 [3 per cell]
Ag 0.0000 0.0000 0.7519 [3 per cell]

=====

(8)
The following is a GGA-PBEsol calculation of a relaxed structure of ScTa2Ag2, from the Alexandria database.

Cell: 3.738 3.738 13.820 Å, 90.00 90.00 90.00°
Space group I4/mmm (No. 139)
Inequivalent atoms, fractional coordinates:
Sc 0.000 0.000 0.000 [2 per cell]
Ta 0.000 0.500 0.250 [4 per cell]
Ag 0.000 0.000 0.406 [4 per cell]

=====

| no. | formation energy (eV per atom) | density of states at the Fermi level (states/eV/f.u.) | size of the total moment (μB per cell) |
| --- | --- | --- | --- |
| 1 | -0.228 | 3.70 | 0.001 |
| 2 | 0.277 | 5.15 | 0.002 |
| 3 | 1.249 | 6.67 | 0.004 |
| 4 | 0.235 | 4.64 | 3.220 |
| 5 | 1.973 | 7.77 | 0.000 |
| 6 | 0.262 | 3.37 | 0.000 |
| 7 | 0.142 | 3.67 | 0.003 |
| 8 | 0.376 | 5.79 | 0.001 |